# 1
## La2MnCd (PBE)

Data for a geometry-optimized La2MnCd structure.

Calculated volume = 26.72 Å³ per atom
ΔE_f = 37 kJ/mol of formula units
SG = I-4m2 (119)
Crystal system = tetragonal

a b c (Å): 5.819 5.819 5.819
angles (deg): 131.93 131.93 70.34
Last column: magnetic moment on the atom in μB.
Positions (direct):
Cd (0.750, 0.250, 0.500)  -0.04
La (0.000, 0.000, 0.000)  -0.30
La (0.250, 0.750, 0.500)  -0.29
Mn (0.500, 0.500, 0.000)  3.70

---

# 2
## K4RbH5 (PBE)

Data for a geometry-optimized K4RbH5 structure.

Calculated volume = 23.22 Å³ per atom
SG = C2/m (12)
Crystal system = monoclinic

a b c (Å): 4.032 6.985 9.031
angles (deg): 75.04 77.10 73.22
Positions (direct):
K (0.600, 0.203, 0.596)
K (0.199, 0.399, 0.203)
K (0.801, 0.601, 0.797)
K (0.400, 0.797, 0.404)
Rb (0.000, 0.000, 0.000)
H (0.203, 0.901, 0.694)
H (0.797, 0.099, 0.306)
H (0.395, 0.315, 0.894)
H (0.000, 0.500, 0.500)
H (0.605, 0.685, 0.106)

---

# 3
## CaTi2Fe2 (PBE)

Data for a geometry-optimized CaTi2Fe2 structure.

Calculated volume = 16.18 Å³ per atom
ΔE_f = 52 kJ/mol of formula units
SG = P4/mbm (127)
Crystal system = tetragonal

a b c (Å): 7.406 7.406 2.949
angles (deg): 90.00 90.00 90.00
Positions (direct):
Ca (0.000, 0.000, 0.000)
Ca (0.500, 0.500, 0.000)
Fe (0.362, 0.862, 0.000)
Fe (0.862, 0.638, 0.000)
Fe (0.638, 0.138, 0.000)
Fe (0.138, 0.362, 0.000)
Ti (0.137, 0.637, 0.500)
Ti (0.637, 0.863, 0.500)
Ti (0.863, 0.363, 0.500)
Ti (0.363, 0.137, 0.500)

---

# 4
## BaSmZn2Pt2 (PBE)

Data for a geometry-optimized BaSmZn2Pt2 structure.

Calculated volume = 23.93 Å³ per atom
ΔE_f = -451 kJ/mol of formula units
SG = P-3m1 (164)
Crystal system = trigonal

a b c (Å): 4.497 4.497 8.197
angles (deg): 90.00 90.00 120.00
Positions (direct):
Ba (0.000, 0.000, 0.000)
Sm (0.000, 0.000, 0.500)
Zn (0.667, 0.333, 0.290)
Zn (0.333, 0.667, 0.710)
Pt (0.667, 0.333, 0.702)
Pt (0.333, 0.667, 0.298)

---

Calculated total energy for every record listed, in sequence, given in eV/f.u.: -19.6, -24.1, -34.2, -25.9.